(1)
## CdB4Mo (PBE-GGA)

Data for a geometry-optimized CdB4Mo structure.

a b c (Å): 4.763 4.763 4.763
angles (deg): 142.61 112.27 80.01
Element x y z (fractional)
B 0.585 0.246 0.339
B 0.092 0.754 0.339
B 0.908 0.246 0.661
B 0.415 0.754 0.661
Cd 0.000 0.000 0.000
Mo 0.500 0.500 0.000

## Properties
DFT total energy: -6.1764 eV/atom
distance to the lowest polymorph of the same formula: 165 meV/atom
space-group type: No. 71

***

(2)
## Hf2ScW (PBE-GGA)

Data for a geometry-optimized Hf2ScW structure.

a b c (Å): 4.827 4.827 4.827
angles (deg): 60.00 60.00 60.00
Each line ends with the local moment (μB).
Element x y z (fractional)
Hf 0.000 0.000 0.000  0.02
Hf 0.750 0.750 0.750  0.05
Sc 0.500 0.500 0.500  0.02
W 0.250 0.250 0.250  -0.03

## Properties
DFT total energy: -9.5229 eV/atom
space-group type: No. 216
calculated formation energy: 107 kJ/mol of formula units

***

(3)
## GdY2Al (PBE-GGA)

Data for a geometry-optimized GdY2Al structure.

a b c (Å): 5.325 6.883 6.883
angles (deg): 120.01 90.00 90.00
Element x y z (fractional)
Al 0.250 0.919 0.582
Al 0.750 0.582 0.919
Gd 0.750 0.601 0.427
Gd 0.250 0.427 0.601
Y 0.250 0.898 0.073
Y 0.250 0.424 0.075
Y 0.750 0.075 0.424
Y 0.750 0.073 0.898

## Properties
DFT total energy: -5.5294 eV/atom
distance to the lowest polymorph of the same formula: 0 meV/atom
space-group type: No. 40

***

(4)
## PmGeW (PBE-GGA)

Data for a geometry-optimized PmGeW structure.

a b c (Å): 4.857 4.857 4.857
angles (deg): 60.00 60.00 60.00
Each line ends with the local moment (μB).
Element x y z (fractional)
Ge 0.250 0.250 0.250  -0.05
Pm 0.000 0.000 0.000  0.22
W 0.750 0.750 0.750  2.22

## Properties
DFT total energy: -6.0472 eV/atom
distance to the lowest polymorph of the same formula: 965 meV/atom
space-group type: No. 216

***

(5)
## Th2Cu5Ni5 (PBE-GGA)

Data for a geometry-optimized Th2Cu5Ni5 structure.

a b c (Å): 4.096 4.955 8.616
angles (deg): 90.00 90.00 90.00
Element x y z (fractional)
Cu 0.500 0.250 0.249
Cu 0.500 0.750 0.249
Cu 0.500 0.000 0.500
Cu 0.500 0.250 0.751
Cu 0.500 0.750 0.751
Ni 0.500 0.500 0.000
Ni 0.000 0.500 0.165
Ni 0.000 0.000 0.334
Ni 0.000 0.000 0.666
Ni 0.000 0.500 0.835
Th 0.000 0.000 0.000
Th 0.000 0.500 0.500

## Properties
DFT total energy: -5.4321 eV/atom
space-group type: No. 47
calculated formation energy: -380 kJ/mol of formula units

***

(6)
## K2Pr2GdMg3Cd (PBE-GGA)

Data for a geometry-optimized K2Pr2GdMg3Cd structure.

a b c (Å): 4.912 8.319 8.319
angles (deg): 119.49 90.00 90.00
Element x y z (fractional)
Cd 0.000 0.008 0.008
Gd 0.000 0.376 0.376
K 0.500 0.663 0.330
K 0.500 0.330 0.663
Mg 0.500 0.217 0.003
Mg 0.500 0.003 0.217
Mg 0.500 0.787 0.787
Pr 0.000 0.994 0.621
Pr 0.000 0.621 0.994

## Properties
DFT total energy: -2.0968 eV/atom
space-group type: No. 38

***

(7)
## DyB4Pt (PBE-GGA)

Data for a geometry-optimized DyB4Pt structure.

a b c (Å): 3.251 3.251 6.840
angles (deg): 90.00 90.00 120.00
Element x y z (fractional)
B 0.667 0.333 0.229
B 0.333 0.667 0.229
B 0.667 0.333 0.771
B 0.333 0.667 0.771
Dy 0.000 0.000 0.500
Pt 0.000 0.000 0.000

## Properties
DFT total energy: -6.3937 eV/atom
distance to the lowest polymorph of the same formula: 23 meV/atom
space-group type: No. 191

***

(8)
## TbCoCl (PBE-GGA)

Data for a geometry-optimized TbCoCl structure.

a b c (Å): 11.153 11.153 11.153
angles (deg): 20.02 20.02 20.02
Each line ends with the local moment (μB).
Element x y z (fractional)
Cl 0.277 0.277 0.277  0.00
Cl 0.723 0.723 0.723  0.00
Co 0.164 0.164 0.164  -0.32
Co 0.836 0.836 0.836  -0.32
Tb 0.443 0.443 0.443  0.06
Tb 0.557 0.557 0.557  0.06

## Properties
DFT total energy: -5.7100 eV/atom
space-group type: No. 166